(1)
First-principles (PBE) data for LaBe2Sb after structural relaxation, as listed in Alexandria.

## Properties
Magnetic moment, μB/atom: 0.00
Energy above the most stable polymorph in this dataset, meV per atom: 408

Unit cell a=3.3389 b=3.3389 c=7.0607 alpha=90.00 beta=90.00 gamma=90.00
With the nearest neighbours (Å) after each atom.
Space group P4mm (No. 99)
Symmetry-distinct sites (fractional):
La  0.0000  0.0000  0.0000 (multiplicity 1)  5 Be 2.95-3.18
Be  0.0000  0.0000  0.5826 (multiplicity 1)  4 Be 2.50
Be  0.5000  0.5000  0.6990 (multiplicity 1)  1 Sb 2.47, 4 Be 2.50
Sb  0.5000  0.5000  0.3494 (multiplicity 1)  1 Be 2.47

(2)
First-principles (PBE) data for Re2Mo after structural relaxation, as listed in Alexandria.

## Properties
Magnetic moment, μB/atom: 0.00
Energy of formation from the pure elements, meV per atom: 141
Energy above the most stable polymorph in this dataset, meV per atom: 26

Unit cell a=3.9362 b=11.8615 c=3.9453 alpha=90.00 beta=90.00 gamma=90.00
With the nearest neighbours (Å) after each atom.
Space group Cmcm (No. 63)
Symmetry-distinct sites (fractional):
Re  0.0000  0.0876  0.2500 (multiplicity 4)  6 Re 2.74-2.86, 6 Mo 2.79-2.84
Re  0.0000  0.2521  0.7500 (multiplicity 4)  8 Re 2.74-2.79, 4 Mo 2.76-2.79
Mo  0.0000  0.4144  0.2500 (multiplicity 4)  10 Re 2.76-2.84, 2 Mo 2.83